Crystalline Rb2BeNiO4 at its relaxed geometry, computed with GGA+U.

a = 11.7117 Å, b = 10.3774 Å, c = 6.3715 Å
α = 85.18°, β = 62.00°, γ = 32.83°
Positions (direct):
Rb (0.0505, 0.0505, 0.6995)
Rb (0.3005, 0.3005, 0.9495)
Rb (0.6995, 0.6995, 0.0505)
Rb (0.9495, 0.9495, 0.3005)
Be (0.3750, 0.3750, 0.3750)
Be (0.6250, 0.6250, 0.6250)
Ni (0.1250, 0.1250, 0.1250)
Ni (0.8750, 0.8750, 0.8750)
O (0.0207, 0.6540, 0.5599)
O (0.2654, 0.5599, 0.6540)
O (0.3460, 0.9793, 0.7346)
O (0.4401, 0.7346, 0.9793)
O (0.5599, 0.2654, 0.0207)
O (0.6540, 0.0207, 0.2654)
O (0.7346, 0.4401, 0.3460)
O (0.9793, 0.3460, 0.4401)

**DOS at the Fermi energy**: 0.48 states/eV/cell
**Total DFT energy (no corrections)**: -38.72 eV per formula unit